A plane-wave DFT calculation with PBE-GGA was carried out for crystalline YMn2Tl at its relaxed geometry.

```
4
Lattice="3.437 0.000 0.000 0.000 3.437 0.000 0.000 0.000 7.029" Properties=species:S:1:pos:R:3 pbc="T T T"
Y 0.000 0.000 0.000
Mn 0.000 0.000 3.064
Mn 1.719 1.719 1.819
Tl 1.719 1.719 4.724
```

As for the calculated formation energy: 0.93 eV/f.u. As for the final energy: -6.561 eV/atom. Its energy above the most stable polymorph in this dataset is 0 meV/atom.

A plane-wave DFT calculation with PBE-GGA was carried out for crystalline SmDyMgHg at its relaxed geometry.

```
16
Lattice="7.561 0.000 0.000 0.000 7.561 0.000 0.000 0.000 7.561" Properties=species:S:1:pos:R:3 pbc="T T T"
Sm 0.000 0.000 0.000
Sm 0.000 3.781 3.781
Sm 3.781 0.000 3.781
Sm 3.781 3.781 0.000
Dy 0.000 0.000 3.781
Dy 0.000 3.781 0.000
Dy 3.781 0.000 0.000
Dy 3.781 3.781 3.781
Mg 1.890 1.890 1.890
Mg 1.890 5.671 5.671
Mg 5.671 1.890 5.671
Mg 5.671 5.671 1.890
Hg 1.890 1.890 5.671
Hg 1.890 5.671 1.890
Hg 5.671 1.890 1.890
Hg 5.671 5.671 5.671
```

As for the calculated formation energy: -1.04 eV/f.u. As for the final energy: -3.065 eV/atom. Its energy above the most stable polymorph in this dataset is 20 meV/atom.

A plane-wave DFT calculation with PBE-GGA was carried out for crystalline NaSrPrPb at its relaxed geometry.

```
16
Lattice="8.118 0.000 0.000 0.000 8.118 0.000 0.000 0.000 8.118" Properties=species:S:1:pos:R:3 pbc="T T T"
Na 0.000 0.000 0.000
Na 0.000 4.059 4.059
Na 4.059 0.000 4.059
Na 4.059 4.059 0.000
Sr 2.029 2.029 2.029
Sr 2.029 6.088 6.088
Sr 6.088 2.029 6.088
Sr 6.088 6.088 2.029
Pr 2.029 2.029 6.088
Pr 2.029 6.088 2.029
Pr 6.088 2.029 2.029
Pr 6.088 6.088 6.088
Pb 0.000 0.000 4.059
Pb 0.000 4.059 0.000
Pb 4.059 0.000 0.000
Pb 4.059 4.059 4.059
```

As for the calculated formation energy: -0.99 eV/f.u. As for the final energy: -3.119 eV/atom.

A plane-wave DFT calculation with PBE-GGA was carried out for crystalline Tb2MgPt9 at its relaxed geometry.

```
12
Lattice="4.087 0.000 0.000 0.000 4.087 0.000 0.000 0.000 12.163" Properties=species:S:1:pos:R:3 pbc="T T T"
Tb 0.000 0.000 2.092
Tb 0.000 0.000 10.071
Mg 0.000 0.000 6.081
Pt 0.000 2.043 0.000
Pt 0.000 2.043 4.187
Pt 0.000 2.043 7.976
Pt 2.043 0.000 0.000
Pt 2.043 0.000 4.187
Pt 2.043 0.000 7.976
Pt 2.043 2.043 2.088
Pt 2.043 2.043 6.081
Pt 2.043 2.043 10.075
```

As for the calculated formation energy: -10.38 eV/f.u. As for the final energy: -6.300 eV/atom.

- Number 1 is which compound?
  YMn2Tl